The following is a GGA-PBE calculation of a relaxed Re2RhI crystal, from the Alexandria database.

## Properties
N(E_F), states/eV/atom: 0.502
Energy relative to the elements, uncorrected, meV per atom: 1621
E above lowest polymorph, meV/atom: 537
Final energy, eV per atom: -6.829

Unit cell a=5.9223 b=5.9223 c=10.9388 alpha=90.00 beta=90.00 gamma=90.00
Closest atoms and distances in Å follow each position.
Space group I-42d (No. 122)
One atom of each set of equivalent atoms:
Re  0.2178  0.2500  0.1250 x8  2 Rh 2.39, 2 I 2.62
Rh  0.0000  0.0000  0.0000 x4  4 Re 2.39
I  0.0000  0.0000  0.5000 x4  4 Re 2.62